Below is a relaxed structure of AlCoF2, with properties calculated at the PBE with a Hubbard U level.

Unit cell a=7.768 b=7.768 c=7.768 alpha=20.99 beta=20.99 gamma=20.99
Fractional positions:
Co 0.000 0.000 0.000
Al 0.500 0.500 0.500
F 0.919 0.919 0.919
F 0.081 0.081 0.081

Summary:
ΔE to the lowest computed polymorph: 0.279 eV per atom
total energy: -17.155 eV per formula unit